Entry 1:
DFT (PBE) results for a relaxed CaAlSn2Hg crystal.

Cell and atoms, written as CIF:
```
data_CaAlSn2Hg
_chemical_formula_sum 'Ca1 Al1 Sn2 Hg1'
_symmetry_space_group_name_H-M 'P 4/m m m'
_symmetry_Int_Tables_number 123
_symmetry_space_group_name_Hall '-P 4 2'
_cell_length_a 5.563
_cell_length_b 5.563
_cell_length_c 5.634
_cell_angle_alpha 90.00
_cell_angle_beta 90.00
_cell_angle_gamma 90.00
loop_
_atom_site_label
_atom_site_type_symbol
_atom_site_fract_x
_atom_site_fract_y
_atom_site_fract_z
Ca1 Ca 0.000 0.000 0.000
Al1 Al 0.500 0.500 0.000
Sn1 Sn 0.000 0.500 0.500
Hg1 Hg 0.000 0.000 0.500
```

Output
Distance to the lowest polymorph of the same formula, eV/atom: 0.000
Energy relative to the elements, kJ/mol of formula units: 208
Crystal system: tetragonal

***

Entry 2:
DFT (PBE) results for a relaxed CaAlSn2Hg crystal.

Cell and atoms, written as CIF:
```
data_CaAlSn2Hg
_chemical_formula_sum 'Ca1 Al1 Sn2 Hg1'
_symmetry_space_group_name_H-M 'P 4/m m m'
_symmetry_Int_Tables_number 123
_symmetry_space_group_name_Hall '-P 4 2'
_cell_length_a 5.837
_cell_length_b 5.837
_cell_length_c 5.659
_cell_angle_alpha 90.00
_cell_angle_beta 90.00
_cell_angle_gamma 90.00
loop_
_atom_site_label
_atom_site_type_symbol
_atom_site_fract_x
_atom_site_fract_y
_atom_site_fract_z
Ca1 Ca 0.000 0.000 0.000
Al1 Al 0.500 0.500 0.500
Sn1 Sn 0.000 0.500 0.000
Hg1 Hg 0.000 0.000 0.500
```

Output
Distance to the lowest polymorph of the same formula, eV/atom: 0.263
Energy relative to the elements, kJ/mol of formula units: 335
Crystal system: tetragonal

***

Entry 3:
DFT (PBE) results for a relaxed Ca2AlHgTe crystal.

Cell and atoms, written as CIF:
```
data_Ca2AlHgTe
_chemical_formula_sum 'Ca2 Al1 Hg1 Te1'
_symmetry_space_group_name_H-M 'P 4/m m m'
_symmetry_Int_Tables_number 123
_symmetry_space_group_name_Hall '-P 4 2'
_cell_length_a 5.849
_cell_length_b 5.849
_cell_length_c 4.874
_cell_angle_alpha 90.00
_cell_angle_beta 90.00
_cell_angle_gamma 90.00
loop_
_atom_site_label
_atom_site_type_symbol
_atom_site_fract_x
_atom_site_fract_y
_atom_site_fract_z
Ca1 Ca 0.000 0.500 0.000
Al1 Al 0.000 0.000 0.000
Hg1 Hg 0.000 0.000 0.500
Te1 Te 0.500 0.500 0.500
```

Output
Uncorrected formation energy, eV per atom: -0.292
Crystal system: tetragonal

***

Entry 4:
DFT (PBE) results for a relaxed CaThAlHg crystal.

Cell and atoms, written as CIF:
```
data_CaThAlHg
_chemical_formula_sum 'Ca4 Th4 Al4 Hg4'
_symmetry_space_group_name_H-M 'F -4 3 m'
_symmetry_Int_Tables_number 216
_symmetry_space_group_name_Hall 'F -4 2 3'
_cell_length_a 7.548
_cell_length_b 7.548
_cell_length_c 7.548
_cell_angle_alpha 90.00
_cell_angle_beta 90.00
_cell_angle_gamma 90.00
loop_
_atom_site_label
_atom_site_type_symbol
_atom_site_fract_x
_atom_site_fract_y
_atom_site_fract_z
Ca1 Ca 0.000 0.000 0.000
Th1 Th 0.000 0.000 0.500
Al1 Al 0.250 0.250 0.750
Hg1 Hg 0.250 0.250 0.250
```

Output
Energy relative to the elements, kJ/mol of formula units: -93
Crystal system: cubic

***

Entry 5:
DFT (PBE) results for a relaxed Ca2Al4Zn3Hg crystal.

Cell and atoms, written as CIF:
```
data_Ca2Al4Zn3Hg
_chemical_formula_sum 'Ca2 Al4 Zn3 Hg1'
_symmetry_space_group_name_H-M 'P -4 m 2'
_symmetry_Int_Tables_number 115
_cell_length_a 4.245
_cell_length_b 4.245
_cell_length_c 11.347
_cell_angle_alpha 90.00
_cell_angle_beta 90.00
_cell_angle_gamma 90.00
loop_
_symmetry_equiv_pos_as_xyz
'x,y,z'
'y,-x,-z'
'-x,-y,z'
'-y,x,-z'
'-x,y,z'
'-y,-x,-z'
'x,-y,z'
'y,x,-z'
loop_
_atom_site_label
_atom_site_type_symbol
_atom_site_fract_x
_atom_site_fract_y
_atom_site_fract_z
Ca1 Ca 0.000 0.500 0.246
Al1 Al 0.000 0.000 0.000
Al2 Al 0.000 0.500 0.643
Al3 Al 0.500 0.500 0.000
Zn1 Zn 0.000 0.500 0.863
Zn2 Zn 0.500 0.500 0.500
Hg1 Hg 0.000 0.000 0.500
```

Output
Energy relative to the elements, kJ/mol of formula units: -224
Crystal system: tetragonal

***

Entry 6:
DFT (PBE) results for a relaxed CaZrAlHg2 crystal.

Cell and atoms, written as CIF:
```
data_CaZrAlHg2
_chemical_formula_sum 'Ca1 Zr1 Al1 Hg2'
_symmetry_space_group_name_H-M 'P 4/m m m'
_symmetry_Int_Tables_number 123
_symmetry_space_group_name_Hall '-P 4 2'
_cell_length_a 5.279
_cell_length_b 5.279
_cell_length_c 5.311
_cell_angle_alpha 90.00
_cell_angle_beta 90.00
_cell_angle_gamma 90.00
loop_
_atom_site_label
_atom_site_type_symbol
_atom_site_fract_x
_atom_site_fract_y
_atom_site_fract_z
Ca1 Ca 0.000 0.000 0.000
Zr1 Zr 0.500 0.500 0.500
Al1 Al 0.000 0.000 0.500
Hg1 Hg 0.000 0.500 0.000
```

Output
Energy relative to the elements, kJ/mol of formula units: 463
Crystal system: tetragonal

***

Entry 7:
DFT (PBE) results for a relaxed Ca2HoAl9 crystal.

Cell and atoms, written as CIF:
```
data_Ca2HoAl9
_chemical_formula_sum 'Ca6 Ho3 Al27'
_symmetry_space_group_name_H-M 'R -3 m'
_symmetry_Int_Tables_number 166
_symmetry_space_group_name_Hall '-R 3 2"'
_cell_length_a 5.5803
_cell_length_b 5.5803
_cell_length_c 26.8317
_cell_angle_alpha 90.00
_cell_angle_beta 90.00
_cell_angle_gamma 120.00
loop_
_atom_site_label
_atom_site_type_symbol
_atom_site_fract_x
_atom_site_fract_y
_atom_site_fract_z
Ca1 Ca 0.0000 0.0000 0.1420
Ho1 Ho 0.0000 0.0000 0.0000
Al1 Al 0.0000 0.0000 0.3349
Al2 Al 0.0000 0.0000 0.5000
Al3 Al 0.0043 0.5022 0.9184
```

Output
Energy relative to the elements, kJ/mol of formula units: -305
Crystal system: trigonal

***

Entry 8:
DFT (PBE) results for a relaxed CaHoAl2 crystal.

Cell and atoms, written as CIF:
```
data_CaHoAl2
_chemical_formula_sum 'Ca1 Ho1 Al2'
_symmetry_space_group_name_H-M 'P 4/m m m'
_symmetry_Int_Tables_number 123
_symmetry_space_group_name_Hall '-P 4 2'
_cell_length_a 3.620
_cell_length_b 3.620
_cell_length_c 7.385
_cell_angle_alpha 90.00
_cell_angle_beta 90.00
_cell_angle_gamma 90.00
loop_
_atom_site_label
_atom_site_type_symbol
_atom_site_fract_x
_atom_site_fract_y
_atom_site_fract_z
Ca1 Ca 0.000 0.000 0.000
Ho1 Ho 0.000 0.000 0.500
Al1 Al 0.500 0.500 0.261
```

Output
Distance to the lowest polymorph of the same formula, eV/atom: 0.000
Energy relative to the elements, kJ/mol of formula units: -114
Crystal system: tetragonal